The following is a PBE calculation of a relaxed Hf4GaCuC2 crystal, from OQMD.

The density is 11.33 g/cm³. The total energy is -8.7293 eV/atom. The crystal system is hexagonal.

The space group is P-6m2 (No. 187) and the conventional cell measures 3.2650, 3.2650 and 13.8336 Å, with angles of 90.00, 90.00 and 120.00 degrees. The distinct sites, in fractional coordinates, are Hf at (0.0000, 0.0000, 0.1512), Hf at (0.6667, 0.3333, 0.3360), Ga at (0.0000, 0.0000, 0.5000), Cu at (0.6667, 0.3333, 0.0000) and C at (0.3333, 0.6667, 0.2461).